Record 1
# Ce2Zn3Au4 (PBE, optimized geometry)
# space-group type: No. 69
# relative energy among the computed polymorphs: 0 meV/atom
# Fermi-level density of states: 11.72 states/eV/cell
# ΔH_f (0 K): -0.52 eV/atom
data_Ce2Zn3Au4
_space_group_name_H-M_alt 'P 1'
_space_group_IT_number 1
_cell_length_a 5.371
_cell_length_b 5.374
_cell_length_c 7.624
_cell_angle_alpha 79.86
_cell_angle_beta 69.38
_cell_angle_gamma 60.02
loop_
_space_group_symop_operation_xyz
'x,y,z'
loop_
_atom_site_label
_atom_site_type_symbol
_atom_site_fract_x
_atom_site_fract_y
_atom_site_fract_z
Ce1 Ce 0.636 0.000 0.729
Ce2 Ce 0.364 0.000 0.271
Au1 Au 0.007 0.323 0.663
Au2 Au 0.330 0.677 0.663
Au3 Au 0.993 0.677 0.337
Au4 Au 0.670 0.323 0.337
Zn1 Zn 0.500 0.500 0.000
Zn2 Zn 0.000 0.000 0.000
Zn3 Zn 0.000 0.500 0.000

---

Record 2
# UPd2Pt8 (PBE, optimized geometry)
# space-group type: No. 71
# Fermi-level density of states: 11.84 states/eV/cell
# ΔH_f (0 K): -0.28 eV/atom
data_UPd2Pt8
_space_group_name_H-M_alt 'P 1'
_space_group_IT_number 1
_cell_length_a 3.950
_cell_length_b 7.871
_cell_length_c 7.512
_cell_angle_alpha 121.59
_cell_angle_beta 105.24
_cell_angle_gamma 90.00
loop_
_space_group_symop_operation_xyz
'x,y,z'
loop_
_atom_site_label
_atom_site_type_symbol
_atom_site_fract_x
_atom_site_fract_y
_atom_site_fract_z
Pt1 Pt 0.665 0.913 0.330
Pt2 Pt 0.164 0.164 0.329
Pt3 Pt 0.836 0.836 0.671
Pt4 Pt 0.000 0.732 0.000
Pt5 Pt 0.665 0.417 0.330
Pt6 Pt 0.335 0.087 0.670
Pt7 Pt 0.000 0.268 0.000
Pt8 Pt 0.335 0.583 0.670
Pd1 Pd 0.835 0.335 0.669
Pd2 Pd 0.165 0.665 0.331
U1 U 0.500 0.000 0.000

---

Record 3
# Pr6GaRh2Cl3 (PBE, optimized geometry)
# ΔE_f (raw): -1.07 eV/atom
# space-group type: No. 12
# Fermi-level density of states: 8.84 states/eV/cell
data_Pr6GaRh2Cl3
_space_group_name_H-M_alt 'P 1'
_space_group_IT_number 1
_cell_length_a 7.289
_cell_length_b 7.289
_cell_length_c 7.831
_cell_angle_alpha 98.90
_cell_angle_beta 98.90
_cell_angle_gamma 120.19
loop_
_space_group_symop_operation_xyz
'x,y,z'
loop_
_atom_site_label
_atom_site_type_symbol
_atom_site_fract_x
_atom_site_fract_y
_atom_site_fract_z
Pr1 Pr 0.279 0.279 0.785
Pr2 Pr 0.580 0.930 0.786
Pr3 Pr 0.721 0.721 0.215
Pr4 Pr 0.070 0.420 0.214
Pr5 Pr 0.930 0.580 0.786
Pr6 Pr 0.420 0.070 0.214
Cl1 Cl 0.500 0.500 0.500
Cl2 Cl 0.837 0.163 0.500
Cl3 Cl 0.163 0.837 0.500
Rh1 Rh 0.334 0.666 0.000
Rh2 Rh 0.666 0.334 0.000
Ga1 Ga 0.000 0.000 0.000

---

Record 4
# LiPm4Cd5 (PBE, optimized geometry)
# space-group type: No. 123
# Fermi-level density of states: 10.30 states/eV/cell
# ΔH_f (0 K): -0.29 eV/atom
data_LiPm4Cd5
_space_group_name_H-M_alt 'P 1'
_space_group_IT_number 1
_cell_length_a 3.747
_cell_length_b 3.747
_cell_length_c 18.942
_cell_angle_alpha 90.00
_cell_angle_beta 90.00
_cell_angle_gamma 90.00
loop_
_space_group_symop_operation_xyz
'x,y,z'
loop_
_atom_site_label
_atom_site_type_symbol
_atom_site_fract_x
_atom_site_fract_y
_atom_site_fract_z
Pm1 Pm 0.000 0.000 0.395
Pm2 Pm 0.000 0.000 0.605
Pm3 Pm 0.000 0.000 0.189
Pm4 Pm 0.000 0.000 0.811
Cd1 Cd 0.500 0.500 0.708
Cd2 Cd 0.500 0.500 0.500
Cd3 Cd 0.500 0.500 0.082
Cd4 Cd 0.500 0.500 0.292
Cd5 Cd 0.500 0.500 0.918
Li1 Li 0.000 0.000 0.000

---

Record 5
# TePtSe2 (PBE, optimized geometry)
# ΔE_f (raw): 0.08 eV/atom
# space-group type: No. 122
# Fermi-level density of states: 5.39 states/eV/cell
data_TePtSe2
_space_group_name_H-M_alt 'P 1'
_space_group_IT_number 1
_cell_length_a 7.086
_cell_length_b 7.086
_cell_length_c 6.352
_cell_angle_alpha 56.09
_cell_angle_beta 56.09
_cell_angle_gamma 90.00
loop_
_space_group_symop_operation_xyz
'x,y,z'
loop_
_atom_site_label
_atom_site_type_symbol
_atom_site_fract_x
_atom_site_fract_y
_atom_site_fract_z
Te1 Te 0.500 0.500 0.000
Te2 Te 0.250 0.750 0.500
Se1 Se 0.673 0.125 0.250
Se2 Se 0.375 0.327 0.750
Se3 Se 0.077 0.625 0.250
Se4 Se 0.875 0.923 0.750
Pt1 Pt 0.750 0.250 0.500
Pt2 Pt 0.000 0.000 0.000

---

Record 6
# CuPbCl (PBE, optimized geometry)
# ΔE_f (raw): -0.18 eV/atom
# space-group type: No. 42
# relative energy among the computed polymorphs: 41 meV/atom
# Fermi-level density of states: 0.81 states/eV/cell
data_CuPbCl
_space_group_name_H-M_alt 'P 1'
_space_group_IT_number 1
_cell_length_a 7.084
_cell_length_b 6.678
_cell_length_c 3.539
_cell_angle_alpha 81.56
_cell_angle_beta 68.83
_cell_angle_gamma 29.61
loop_
_space_group_symop_operation_xyz
'x,y,z'
loop_
_atom_site_label
_atom_site_type_symbol
_atom_site_fract_x
_atom_site_fract_y
_atom_site_fract_z
Pb1 Pb 0.692 0.692 0.308
Cu1 Cu 0.351 0.351 0.649
Cl1 Cl 0.957 0.957 0.043

---

Record 7
# LaYSe2N (PBE, optimized geometry)
# ΔE_f (raw): -0.96 eV/atom
# space-group type: No. 123
# relative energy among the computed polymorphs: 0 meV/atom
# Fermi-level density of states: 3.43 states/eV/cell
data_LaYSe2N
_space_group_name_H-M_alt 'P 1'
_space_group_IT_number 1
_cell_length_a 5.448
_cell_length_b 5.448
_cell_length_c 4.284
_cell_angle_alpha 90.00
_cell_angle_beta 90.00
_cell_angle_gamma 90.00
loop_
_space_group_symop_operation_xyz
'x,y,z'
loop_
_atom_site_label
_atom_site_type_symbol
_atom_site_fract_x
_atom_site_fract_y
_atom_site_fract_z
Se1 Se 0.000 0.500 0.000
Se2 Se 0.500 0.000 0.000
La1 La 0.500 0.500 0.500
Y1 Y 0.000 0.000 0.000
N1 N 0.000 0.000 0.500

---

Record 8
# LaMnNbSi2 (PBE, optimized geometry)
# ΔE_f (raw): -0.53 eV/atom
# space-group type: No. 119
# Fermi-level density of states: 4.24 states/eV/cell
data_LaMnNbSi2
_space_group_name_H-M_alt 'P 1'
_space_group_IT_number 1
_cell_length_a 4.083
_cell_length_b 4.083
_cell_length_c 6.387
_cell_angle_alpha 108.64
_cell_angle_beta 108.64
_cell_angle_gamma 90.00
loop_
_space_group_symop_operation_xyz
'x,y,z'
loop_
_atom_site_label
_atom_site_type_symbol
_atom_site_fract_x
_atom_site_fract_y
_atom_site_fract_z
Nb1 Nb 0.250 0.750 0.500
Si1 Si 0.612 0.612 0.224
Si2 Si 0.388 0.388 0.776
La1 La 0.000 0.000 0.000
Mn1 Mn 0.750 0.250 0.500

---

Record 9
# NbCr2Rh2 (PBE, optimized geometry)
# space-group type: No. 127
# relative energy among the computed polymorphs: 0 meV/atom
# Fermi-level density of states: 9.78 states/eV/cell
# ΔH_f (0 K): -0.03 eV/atom
data_NbCr2Rh2
_space_group_name_H-M_alt 'P 1'
_space_group_IT_number 1
_cell_length_a 7.233
_cell_length_b 7.233
_cell_length_c 2.711
_cell_angle_alpha 90.00
_cell_angle_beta 90.00
_cell_angle_gamma 90.00
loop_
_space_group_symop_operation_xyz
'x,y,z'
loop_
_atom_site_label
_atom_site_type_symbol
_atom_site_fract_x
_atom_site_fract_y
_atom_site_fract_z
Rh1 Rh 0.677 0.823 0.500
Rh2 Rh 0.323 0.177 0.500
Rh3 Rh 0.823 0.323 0.500
Rh4 Rh 0.177 0.677 0.500
Cr1 Cr 0.616 0.116 0.000
Cr2 Cr 0.116 0.384 0.000
Cr3 Cr 0.884 0.616 0.000
Cr4 Cr 0.384 0.884 0.000
Nb1 Nb 0.000 0.000 0.000
Nb2 Nb 0.500 0.500 0.000

---

Record 10
# ZnSb2Ir (PBE, optimized geometry)
# ΔE_f (raw): -0.06 eV/atom
# space-group type: No. 65
# relative energy among the computed polymorphs: 0 meV/atom
# Fermi-level density of states: 2.11 states/eV/cell
data_ZnSb2Ir
_space_group_name_H-M_alt 'P 1'
_space_group_IT_number 1
_cell_length_a 4.200
_cell_length_b 5.608
_cell_length_c 5.608
_cell_angle_alpha 51.37
_cell_angle_beta 90.00
_cell_angle_gamma 90.00
loop_
_space_group_symop_operation_xyz
'x,y,z'
loop_
_atom_site_label
_atom_site_type_symbol
_atom_site_fract_x
_atom_site_fract_y
_atom_site_fract_z
Ir1 Ir 0.500 0.750 0.750
Sb1 Sb 0.000 0.909 0.909
Sb2 Sb 0.000 0.591 0.591
Zn1 Zn 0.500 0.250 0.250

---

Record 11
# Mg4HgPdAu2 (PBE, optimized geometry)
# space-group type: No. 166
# Fermi-level density of states: 1.76 states/eV/cell
# ΔH_f (0 K): -0.54 eV/atom
data_Mg4HgPdAu2
_space_group_name_H-M_alt 'P 1'
_space_group_IT_number 1
_cell_length_a 4.663
_cell_length_b 4.663
_cell_length_c 8.201
_cell_angle_alpha 73.49
_cell_angle_beta 73.49
_cell_angle_gamma 60.00
loop_
_space_group_symop_operation_xyz
'x,y,z'
loop_
_atom_site_label
_atom_site_type_symbol
_atom_site_fract_x
_atom_site_fract_y
_atom_site_fract_z
Mg1 Mg 0.871 0.871 0.386
Mg2 Mg 0.380 0.380 0.859
Mg3 Mg 0.129 0.129 0.614
Mg4 Mg 0.620 0.620 0.141
Au1 Au 0.753 0.753 0.742
Au2 Au 0.247 0.247 0.258
Hg1 Hg 0.000 0.000 0.000
Pd1 Pd 0.500 0.500 0.500

---

Record 12
# CrSnSe2 (PBE, optimized geometry)
# ΔE_f (raw): -0.25 eV/atom
# space-group type: No. 123
# Fermi-level density of states: 1.54 states/eV/cell
data_CrSnSe2
_space_group_name_H-M_alt 'P 1'
_space_group_IT_number 1
_cell_length_a 4.051
_cell_length_b 4.051
_cell_length_c 5.713
_cell_angle_alpha 90.00
_cell_angle_beta 90.00
_cell_angle_gamma 90.00
loop_
_space_group_symop_operation_xyz
'x,y,z'
loop_
_atom_site_label
_atom_site_type_symbol
_atom_site_fract_x
_atom_site_fract_y
_atom_site_fract_z
Sn1 Sn 0.500 0.500 0.000
Se1 Se 0.500 0.500 0.500
Se2 Se 0.000 0.000 0.000
Cr1 Cr 0.000 0.000 0.500

---

no.,uncorrected energy (eV per atom)
1,-3.718
2,-6.642
3,-5.397
4,-2.838
5,-3.954
6,-3.396
7,-6.298
8,-7.529
9,-8.839
10,-4.658
11,-2.847
12,-5.396